! LiFe2SiO4 | Alexandria | PBE+U | relaxed; values from VASP
! Space-group type: Pmn2_1 (31)
! Volume (Å³ per atom): 11.55
! DOS(E_F) (states/eV/cell): 3.72
! Energy (eV for the cell shown): -105.9
! Magnetic moment (μB per cell): 14.20
! Crystal system: orthorhombic
&SYSTEM
  ibrav = 0, nat = 16, ntyp = 4
/
ATOMIC_SPECIES
Li 6.94 Li.upf
Fe 55.84 Fe.upf
Si 28.09 Si.upf
O 16.00 O.upf
ATOMIC_POSITIONS crystal
Li 0.000 0.174 0.000
Li 0.500 0.826 0.500
Fe 0.229 0.645 0.969
Fe 0.271 0.355 0.469
Fe 0.729 0.355 0.469
Fe 0.771 0.645 0.969
Si 0.000 0.852 0.507
Si 0.500 0.148 0.007
O 0.000 0.121 0.390
O 0.000 0.870 0.833
O 0.212 0.702 0.415
O 0.288 0.298 0.915
O 0.500 0.130 0.333
O 0.500 0.879 0.890
O 0.712 0.298 0.915
O 0.788 0.702 0.415
CELL_PARAMETERS angstrom
6.357 0.000 0.000
0.000 5.688 0.000
0.000 0.000 5.111